A plane-wave DFT calculation with PBE was carried out for a relaxed Rb2LiAuCl6 crystal.

Lattice parameters (Å, degrees): 7.1182 7.1182 7.1182 60.00 60.00 60.00
Closest atoms and distances in Å follow each position.
Positions (direct):
Cl 0.2493 0.7507 0.2493  1 Au 2.51, 1 Li 2.52
Cl 0.7507 0.2493 0.7507  1 Au 2.51, 1 Li 2.52
Cl 0.7507 0.7507 0.2493  1 Au 2.51, 1 Li 2.52
Cl 0.7507 0.2493 0.2493  1 Au 2.51, 1 Li 2.52
Cl 0.2493 0.7507 0.7507  1 Au 2.51, 1 Li 2.52
Cl 0.2493 0.2493 0.7507  1 Au 2.51, 1 Li 2.52
Au 0.0000 0.0000 0.0000  6 Cl 2.51
Rb 0.2500 0.2500 0.2500  12 Cl 3.56
Rb 0.7500 0.7500 0.7500  12 Cl 3.56
Li 0.5000 0.5000 0.5000  6 Cl 2.52

Properties
Mass density, kg/m³: 3826
Uncorrected energy, eV/cell: -30.04
Crystal system: cubic